Entry 1:
VASP calculation (PBE) on a geometry-optimized CaRh2Cl structure.

Results
The energy relative to the elements, uncorrected comes out at -0.33 eV per atom. The value obtained for the polymorph energy (0 for the lowest one) is 129.5 meV/atom. The calculation puts the total magnetic moment at 0.955 μB per formula unit. The calculation puts the volume at 23.5 A^3/atom. Its symmetry is No. 8.

Cell lengths 4.152, 4.152, 7.067 Å; angles 75.45, 75.45, 53.51 degrees
Positions (direct):
Cl 0.211 0.211 0.280
Rh 0.079 0.079 0.806
Ca 0.466 0.466 0.515
Rh 0.744 0.744 0.899

***

Entry 2:
VASP calculation (PBE) on a geometry-optimized CaRhCl2 structure.

Results
The energy relative to the elements, uncorrected comes out at -0.92 eV per atom. The value obtained for the polymorph energy (0 for the lowest one) is 79.2 meV/atom. The calculation puts the total magnetic moment at 0.993 μB per formula unit. The calculation puts the volume at 20.0 A^3/atom. Its symmetry is No. 71.

Cell lengths 5.062, 5.062, 5.062 Å; angles 133.93, 117.42, 81.12 degrees
Positions (direct):
Cl 0.546 0.546 0.000
Cl 0.954 0.954 0.000
Ca 0.250 0.750 0.500
Rh 0.750 0.250 0.500

***

Entry 3:
VASP calculation (PBE) on a geometry-optimized CaRhCl2 structure.

Results
The energy relative to the elements, uncorrected comes out at -0.79 eV per atom. The value obtained for the polymorph energy (0 for the lowest one) is 201.7 meV/atom. The calculation puts the total magnetic moment at 0.431 μB per formula unit. The calculation puts the volume at 20.2 A^3/atom. Its symmetry is No. 47.

Cell lengths 3.519, 5.677, 4.039 Å; angles 90.00, 90.00, 90.00 degrees
Positions (direct):
Cl 0.500 0.500 0.000
Cl 0.000 0.000 0.000
Rh 0.500 0.000 0.500
Ca 0.000 0.500 0.500

***

total magnetic moment of number 3 (CaRhCl2)? 0.431 μB per formula unit

***

What is the formula in the third record? CaRhCl2